1.
This record from Alexandria describes an optimized crystal structure of Y2Sc5. The functional is GGA-PBE.

POSCAR file:
```
Y2Sc5
1.0
-4.349 -1.128 -1.487
3.391 -4.566 1.077
-2.634 0.953 6.984
Y Sc
2 5
direct
0.072 0.144 0.219
0.928 0.856 0.781
0.355 0.709 0.071
0.645 0.291 0.929
0.214 0.428 0.643
0.500 0.000 0.500
0.786 0.572 0.357
```

**DFT formation energy**: 0.06 eV per atom
**Total magnetization**: 0.00 μB per cell
**Energy above the lowest structure with this stoichiometry**: 0 meV per atom
**Space-group type**: C2/m, No. 12
**Uncorrected energy**: -0.4635 Ry per atom

2.
This record from Alexandria describes an optimized crystal structure of NaFeP. The functional is GGA-PBE.

POSCAR file:
```
NaFeP
1.0
-1.043 3.372 -0.844
-2.934 0.533 -2.129
-2.559 3.822 10.729
Na Fe P
2 2 2
direct
0.693 0.948 0.541
0.449 0.745 0.225
0.823 0.281 0.946
0.702 0.686 0.789
0.415 0.042 0.004
0.106 0.931 0.734
```

**DFT formation energy**: -0.29 eV per atom
**Total magnetization**: 0.00 μB per cell
**Space-group type**: P1, No. 1
**Uncorrected energy**: -0.3937 Ry per atom

3.
This record from Alexandria describes an optimized crystal structure of BaLiMo2. The functional is GGA-PBE.

POSCAR file:
```
BaLiMo2
1.0
-3.051 0.672 -0.876
-1.536 -2.557 3.392
0.015 4.440 3.354
Ba Li Mo
1 1 2
direct
0.500 0.000 0.500
0.000 0.500 0.500
0.000 0.000 0.000
0.500 0.500 0.000
```

**DFT formation energy**: 1.03 eV per atom
**Total magnetization**: 0.00 μB per cell
**Energy above the lowest structure with this stoichiometry**: 463 meV per atom
**Space-group type**: Pmmm, No. 47
**Uncorrected energy**: -0.3925 Ry per atom

4.
This record from Alexandria describes an optimized crystal structure of Co4As2S. The functional is GGA-PBE.

POSCAR file:
```
Co4As2S
1.0
-2.467 -3.280 0.449
3.085 -2.480 -1.172
2.065 -3.414 5.392
As Co S
2 4 1
direct
0.366 0.366 0.268
0.634 0.634 0.732
0.177 0.177 0.646
0.823 0.823 0.354
0.000 0.500 0.000
0.500 0.000 0.000
0.000 0.000 0.000
```

**Total magnetization**: 2.62 μB per cell
**Formation energy (no corrections)**: 351 meV per atom
**Space-group type**: I4/mmm, No. 139
**Uncorrected energy**: -0.4136 Ry per atom